No. 1
Here is crystalline Pm3Cd3Pd2 at its relaxed geometry from the Open Quantum Materials Database. Energies are from GGA-PBE. Values from VASP.

## Properties
The volume comes out at 197.47 Å³ per cell. The total energy is -4.019 eV/atom. The size of the total moment is 0.001 μB/cell. Its formation energy from the elements is -0.610 eV/atom.

Geometry as Quantum ESPRESSO input:
```
&SYSTEM
  ibrav = 0, nat = 8, ntyp = 3
/
ATOMIC_SPECIES
Pm 145.00 Pm.upf
Cd 112.41 Cd.upf
Pd 106.42 Pd.upf
CELL_PARAMETERS angstrom
7.719 0.000 0.000
-3.859 6.685 0.000
0.000 0.000 3.827
ATOMIC_POSITIONS angstrom
Pm -2.255 3.906 0.000
Pm 1.604 2.779 0.000
Pm 4.510 0.000 0.000
Cd -0.891 1.543 1.914
Cd 1.782 0.000 1.914
Cd 2.969 5.142 1.914
Pd 0.000 4.456 1.914
Pd 3.859 2.228 1.914
```

=====

No. 2
Here is crystalline AgHgB at its relaxed geometry from the Open Quantum Materials Database. Energies are from GGA-PBE. Values from VASP.

## Properties
The volume comes out at 197.33 Å³ per cell. The total energy is -2.372 eV/atom.

Geometry as Quantum ESPRESSO input:
```
&SYSTEM
  ibrav = 0, nat = 12, ntyp = 3
/
ATOMIC_SPECIES
Ag 107.87 Ag.upf
Hg 200.59 Hg.upf
B 10.81 B.upf
CELL_PARAMETERS angstrom
5.822 0.000 0.000
0.000 5.822 0.000
0.000 0.000 5.822
ATOMIC_POSITIONS angstrom
Ag 0.000 0.000 0.000
Ag 0.000 2.911 2.911
Ag 2.911 0.000 2.911
Ag 2.911 2.911 0.000
Hg 0.000 0.000 2.911
Hg 0.000 2.911 0.000
Hg 2.911 0.000 0.000
Hg 2.911 2.911 2.911
B 1.455 1.455 1.455
B 1.455 4.366 4.366
B 4.366 1.455 4.366
B 4.366 4.366 1.455
```

=====

No. 3
Here is crystalline Pr3Ag2Hg3Pt at its relaxed geometry from the Open Quantum Materials Database. Energies are from GGA-PBE. Values from VASP.

## Properties
The volume comes out at 222.46 Å³ per cell. The total energy is -3.462 eV/atom. The size of the total moment is 0.027 μB/cell. Its formation energy from the elements is -0.471 eV/atom.

Geometry as Quantum ESPRESSO input:
```
&SYSTEM
  ibrav = 0, nat = 9, ntyp = 4
/
ATOMIC_SPECIES
Pr 140.91 Pr.upf
Ag 107.87 Ag.upf
Hg 200.59 Hg.upf
Pt 195.08 Pt.upf
CELL_PARAMETERS angstrom
7.986 0.000 0.000
-3.993 6.916 0.000
0.000 0.000 4.028
ATOMIC_POSITIONS angstrom
Pr -2.460 4.261 0.000
Pr 1.533 2.655 0.000
Pr 4.920 0.000 0.000
Ag 0.000 4.611 2.014
Ag 3.993 2.305 2.014
Hg -1.058 1.833 2.014
Hg 2.117 0.000 2.014
Hg 2.935 5.083 2.014
Pt 0.000 0.000 0.000
```

=====

No. 4
Here is crystalline TbSc3Pb2C2 at its relaxed geometry from the Open Quantum Materials Database. Energies are from GGA-PBE. Values from VASP.

## Properties
The volume comes out at 160.49 Å³ per cell. The total energy is -6.738 eV/atom. The size of the total moment is 0.001 μB/cell.

Geometry as Quantum ESPRESSO input:
```
&SYSTEM
  ibrav = 0, nat = 8, ntyp = 4
/
ATOMIC_SPECIES
Tb 158.93 Tb.upf
Sc 44.96 Sc.upf
Pb 207.20 Pb.upf
C 12.01 C.upf
CELL_PARAMETERS angstrom
3.464 0.000 0.000
-1.732 3.000 0.000
0.000 0.000 15.444
ATOMIC_POSITIONS angstrom
Tb 0.000 0.000 0.000
Sc 0.000 0.000 5.336
Sc 0.000 2.000 7.713
Sc 0.000 2.000 12.880
Pb 0.000 0.000 10.289
Pb 0.000 2.000 2.769
C 1.732 1.000 6.526
C 1.732 1.000 14.050
```

=====

No. 5
Here is crystalline LuZrW at its relaxed geometry from the Open Quantum Materials Database. Energies are from GGA-PBE. Values from VASP.

## Properties
The volume comes out at 291.05 Å³ per cell. The total energy is -7.996 eV/atom. The size of the total moment is 0.004 μB/cell. Its formation energy from the elements is 0.681 eV/atom.

Geometry as Quantum ESPRESSO input:
```
&SYSTEM
  ibrav = 0, nat = 12, ntyp = 3
/
ATOMIC_SPECIES
Lu 174.97 Lu.upf
Zr 91.22 Zr.upf
W 183.84 W.upf
CELL_PARAMETERS angstrom
6.627 0.000 0.000
0.000 6.627 0.000
0.000 0.000 6.627
ATOMIC_POSITIONS angstrom
Lu 0.000 0.000 0.000
Lu 0.000 3.314 3.314
Lu 3.314 0.000 3.314
Lu 3.314 3.314 0.000
Zr 0.000 0.000 3.314
Zr 0.000 3.314 0.000
Zr 3.314 0.000 0.000
Zr 3.314 3.314 3.314
W 1.657 1.657 1.657
W 1.657 4.970 4.970
W 4.970 1.657 4.970
W 4.970 4.970 1.657
```

=====

No. 6
Here is crystalline NdTlAsSe3 at its relaxed geometry from the Open Quantum Materials Database. Energies are from GGA-PBE. Values from VASP.

## Properties
The volume comes out at 351.85 Å³ per cell. The total energy is -4.442 eV/atom. The size of the total moment is 0.008 μB/cell.

Geometry as Quantum ESPRESSO input:
```
&SYSTEM
  ibrav = 0, nat = 12, ntyp = 4
/
ATOMIC_SPECIES
Nd 144.24 Nd.upf
Tl 204.38 Tl.upf
As 74.92 As.upf
Se 78.96 Se.upf
CELL_PARAMETERS angstrom
2.172 -7.877 0.000
2.172 7.877 0.000
0.000 0.000 10.284
ATOMIC_POSITIONS angstrom
Nd 0.000 0.000 0.000
Nd 0.000 0.000 5.142
Tl 2.172 3.757 7.713
Tl 2.172 -3.757 2.571
As 2.172 0.719 2.571
As 2.172 -0.719 7.713
Se 2.172 6.239 2.571
Se 2.172 2.068 0.519
Se 2.172 2.068 4.623
Se 2.172 -2.068 5.661
Se 2.172 -2.068 9.765
Se 2.172 -6.239 7.713
```